Density functional theory data (GGA-PBE) for Pr12Mg2In5 after structural relaxation.

Values from the calculation:
- N(E_F) (states/eV per atom) = 1.19
- space group = C2/m (12)
- DFT formation energy (eV/atom) = -0.20

Cell: 9.817 8.512 8.834 Å, 86.36 90.00 125.22°
Positions (direct):
Pr 0.902 0.804 0.144
Pr 0.035 0.694 0.797
Pr 0.660 0.694 0.797
Pr 0.179 0.761 0.358
Pr 0.582 0.761 0.358
Pr 0.417 0.835 0.680
Pr 0.583 0.165 0.320
Pr 0.821 0.239 0.642
Pr 0.418 0.239 0.642
Pr 0.965 0.306 0.203
Pr 0.340 0.306 0.203
Pr 0.098 0.196 0.856
Mg 0.666 0.000 0.000
Mg 0.334 0.000 0.000
In 0.216 0.431 0.515
In 0.320 0.639 0.029
In 0.000 0.000 0.500
In 0.680 0.361 0.971
In 0.784 0.569 0.485

=====

Density functional theory data (GGA-PBE) for KBeP after structural relaxation.

Values from the calculation:
- space group = P-6m2 (187)
- DFT formation energy (eV/atom) = -0.43

Cell: 5.190 3.743 3.743 Å, 120.00 90.00 90.00°
Positions (direct):
P 0.167 0.000 0.000
K 0.667 0.667 0.333
Be 0.167 0.333 0.667

=====

Density functional theory data (GGA-PBE) for K3Na12Li after structural relaxation.

Values from the calculation:
- N(E_F) (states/eV per atom) = 0.56
- space group = P4/mmm (123)
- DFT formation energy (eV/atom) = 0.04

Cell: 5.661 5.661 20.769 Å, 90.00 90.00 90.00°
Positions (direct):
K 0.000 0.000 0.233
K 0.000 0.000 0.500
K 0.000 0.000 0.767
Na 0.500 0.500 0.000
Na 0.500 0.500 0.237
Na 0.500 0.500 0.500
Na 0.500 0.500 0.763
Na 0.500 0.000 0.100
Na 0.500 0.000 0.367
Na 0.500 0.000 0.633
Na 0.500 0.000 0.900
Na 0.000 0.500 0.100
Na 0.000 0.500 0.367
Na 0.000 0.500 0.633
Na 0.000 0.500 0.900
Li 0.000 0.000 0.000

=====

Number 1: energy -4.103 eV per atom, total magnetization 0.00 Bohr magnetons per cell. Number 2: energy -3.839 eV per atom, total magnetization 0.00 Bohr magnetons per cell. Number 3: energy -1.277 eV per atom, total magnetization 0.00 Bohr magnetons per cell.